VASP calculation (PBE with a Hubbard U) on an optimized crystal structure of BaNaNiO3.

The structure belongs to space group C2/m (No. 12); the cell edges are 9.451, 6.575 and 7.094 Å and the angles 90.00°, 114.53° and 90.00°. Symmetry generates all atoms from Ba at (0.196, 0.000, 0.145), Na at (0.000, 0.186, 0.500), Ni at (0.072, 0.500, 0.248), O at (0.054, 0.278, 0.826) and O at (0.236, 0.000, 0.570).

For the raw total energy, the calculation gives -116.1 eV/cell. For the calculated density, the calculation gives 4.42 g cm⁻³. The density of states at the Fermi level is 0.0 states/eV/f.u. Its crystal system is monoclinic. For the magnetization, the calculation gives 3.0 μB per formula unit.